(1)
Compound: TaHgF2
Source: Alexandria
Functional: PBE
Structure: relaxed

Results
**Space-group type**: No. 122
**Distance to the lowest polymorph of the same formula**: 1.87 eV per formula unit
**Magnetization**: 0.38 μB/f.u.

abc: 7.7261 7.7261 7.7261
angles: 147.14 147.14 47.16
Last column: nearest neighbours and their distance in Å.
Positions (direct):
1 Ta 0.0000 0.0000 0.0000  4 F 2.09
2 Ta 0.7500 0.2500 0.5000  4 F 2.09
3 Hg 0.2500 0.7500 0.5000  8 F 2.86-3.18, 4 Ta 3.09
4 Hg 0.5000 0.5000 0.0000  8 F 2.86-3.18, 4 Ta 3.09
5 F 0.3750 0.1761 0.3011  2 Ta 2.09, 2 F 2.23
6 F 0.8239 0.1250 0.1989  2 Ta 2.09, 2 F 2.23
7 F 0.8750 0.0739 0.6989  2 Ta 2.09, 2 F 2.23
8 F 0.9261 0.6250 0.8011  2 Ta 2.09, 2 F 2.23


(2)
Compound: TiAg3Se4
Source: Alexandria
Functional: PBE
Structure: relaxed

Results
**Space-group type**: No. 215
**Distance to the lowest polymorph of the same formula**: 0.00 eV per formula unit
**Magnetization**: 0.00 μB/f.u.

abc: 6.2661 6.2661 6.2661
angles: 90.00 90.00 90.00
Last column: nearest neighbours and their distance in Å.
Positions (direct):
1 Ti 0.0000 0.0000 0.0000  4 Se 2.45
2 Ag 0.0000 0.0000 0.5000  4 Se 2.64
3 Ag 0.0000 0.5000 0.0000  4 Se 2.64
4 Ag 0.5000 0.0000 0.0000  4 Se 2.64
5 Se 0.2257 0.2257 0.2257  1 Ti 2.45, 3 Ag 2.64
6 Se 0.2257 0.7743 0.7743  1 Ti 2.45, 3 Ag 2.64
7 Se 0.7743 0.2257 0.7743  1 Ti 2.45, 3 Ag 2.64
8 Se 0.7743 0.7743 0.2257  1 Ti 2.45, 3 Ag 2.64


(3)
Compound: NaGa3Sb3
Source: Alexandria
Functional: PBE
Structure: relaxed

Results
**Space-group type**: No. 223
**Distance to the lowest polymorph of the same formula**: 0.35 eV per formula unit
**Magnetization**: 0.00 μB/f.u.

abc: 7.6834 7.6834 7.6834
angles: 90.00 90.00 90.00
Last column: nearest neighbours and their distance in Å.
Positions (direct):
1 Na 0.0000 0.0000 0.0000  12 Sb 4.30, 12 Ga 4.30
2 Na 0.5000 0.5000 0.5000  12 Sb 4.30, 12 Ga 4.30
3 Ga 0.0000 0.2500 0.5000  4 Sb 2.72
4 Ga 0.0000 0.7500 0.5000  4 Sb 2.72
5 Ga 0.2500 0.5000 0.0000  4 Sb 2.72
6 Ga 0.5000 0.0000 0.2500  4 Sb 2.72
7 Ga 0.5000 0.0000 0.7500  4 Sb 2.72
8 Ga 0.7500 0.5000 0.0000  4 Sb 2.72
9 Sb 0.0000 0.5000 0.2500  4 Ga 2.72
10 Sb 0.0000 0.5000 0.7500  4 Ga 2.72
11 Sb 0.2500 0.0000 0.5000  4 Ga 2.72
12 Sb 0.5000 0.2500 0.0000  4 Ga 2.72
13 Sb 0.5000 0.7500 0.0000  4 Ga 2.72
14 Sb 0.7500 0.0000 0.5000  4 Ga 2.72


(4)
Compound: YAsP2
Source: Alexandria
Functional: PBE
Structure: relaxed

Results
**E_form**: -574 meV/atom
**Space-group type**: No. 10
**Magnetization**: 0.00 μB/f.u.

abc: 4.1676 3.8098 5.4810
angles: 90.00 106.05 90.00
Last column: nearest neighbours and their distance in Å.
Positions (direct):
1 Y 0.0000 0.0000 0.0000  4 P 2.84, 2 As 2.95
2 As 0.5000 0.0000 0.5000  4 P 2.67, 2 Y 2.95
3 P 0.3561 0.5000 0.7933  1 P 2.25
4 P 0.6439 0.5000 0.2067  1 P 2.25


(5)
Compound: Sr2HfPd
Source: Alexandria
Functional: PBE
Structure: relaxed

Results
**E_form**: 533 meV/atom
**Space-group type**: No. 225
**Distance to the lowest polymorph of the same formula**: 0.97 eV per formula unit
**Magnetization**: 0.00 μB/f.u.

abc: 5.5076 5.5076 5.5076
angles: 60.00 60.00 60.00
Last column: nearest neighbours and their distance in Å.
Positions (direct):
1 Sr 0.2500 0.2500 0.2500  4 Pd 3.37, 4 Hf 3.37
2 Sr 0.7500 0.7500 0.7500  4 Pd 3.37, 4 Hf 3.37
3 Hf 0.0000 0.0000 0.0000  8 Sr 3.37
4 Pd 0.5000 0.5000 0.5000  8 Sr 3.37


(6)
Compound: La2MgAs
Source: Alexandria
Functional: PBE
Structure: relaxed

Results
**E_form**: -621 meV/atom
**Space-group type**: No. 123
**Distance to the lowest polymorph of the same formula**: 0.31 eV per formula unit
**Magnetization**: 0.00 μB/f.u.

abc: 5.1699 5.1699 4.1030
angles: 90.00 90.00 90.00
Last column: nearest neighbours and their distance in Å.
Positions (direct):
1 La 0.0000 0.5000 0.0000  4 As 3.30, 4 Mg 3.30, 4 La 3.66
2 La 0.5000 0.0000 0.0000  4 As 3.30, 4 Mg 3.30, 4 La 3.66
3 Mg 0.0000 0.0000 0.5000  8 La 3.30, 4 As 3.66
4 As 0.5000 0.5000 0.5000  8 La 3.30, 4 Mg 3.66


(7)
Compound: Pm2Pr4ErTm
Source: Alexandria
Functional: PBE
Structure: relaxed

Results
**E_form**: 15 meV/atom
**Space-group type**: No. 10
**Magnetization**: 0.00 μB/f.u.

abc: 5.1634 5.1935 10.1931
angles: 90.00 90.06 90.00
Last column: nearest neighbours and their distance in Å.
Positions (direct):
1 Pm 0.0000 0.0000 0.0000  8 Pr 3.63, 4 Tm 3.66
2 Pm 0.5000 0.5000 0.5000  8 Pr 3.63-3.64, 4 Er 3.66
3 Pr 0.9998 0.5000 0.2492  2 Tm 3.62, 4 Pm 3.63, 2 Er 3.64, 4 Pr 3.66
4 Pr 0.0002 0.5000 0.7508  2 Tm 3.62, 4 Pm 3.63, 2 Er 3.64, 4 Pr 3.66
5 Pr 0.5001 0.0000 0.2503  2 Er 3.62-3.63, 4 Pm 3.63-3.64, 2 Tm 3.64, 4 Pr 3.66
6 Pr 0.4999 0.0000 0.7497  2 Er 3.62-3.63, 4 Pm 3.63-3.64, 2 Tm 3.64, 4 Pr 3.66
7 Er 0.0000 0.0000 0.5000  8 Pr 3.62-3.64, 4 Pm 3.66
8 Tm 0.5000 0.5000 0.0000  8 Pr 3.62-3.64, 4 Pm 3.66